Below is a relaxed structure of HgOs3C, with properties calculated at the GGA-PBE level.

DOS at the Fermi energy   7.5 states/eV/cell
ΔE to the lowest computed polymorph   3698 meV/atom
Formation enthalpy at 0 K   4.55 eV per atom
Density   10.30 g/cm³

abc: 5.017 5.017 5.017
angles: 90.00 90.00 90.00
Space group Pm-3m (No. 221)
One atom of each set of equivalent atoms:
1 Hg 0.000 0.000 0.000 x1
2 Os 0.000 0.000 0.500 x3
3 C 0.500 0.500 0.500 x1